Density functional theory data (PBE) for an optimized crystal structure of InTcAs2W.

```
data_InTcAs2W
_chemical_formula_sum 'In1 Tc1 As2 W1'
_space_group_name_H-M_alt 'P 1'
_space_group_IT_number 1
_cell_length_a 4.903
_cell_length_b 4.880
_cell_length_c 4.903
_cell_angle_alpha 90.00
_cell_angle_beta 90.00
_cell_angle_gamma 90.00
loop_
_space_group_symop_operation_xyz
'x,y,z'
loop_
_atom_site_label
_atom_site_type_symbol
_atom_site_fract_x
_atom_site_fract_y
_atom_site_fract_z
As1 As 0.000 0.000 0.500
As2 As 0.500 0.000 0.000
Tc1 Tc 0.000 0.500 0.000
W1 W 0.500 0.500 0.500
In1 In 0.000 0.000 0.000
```

Properties
Final energy = -4.6920 eV/atom
SG = P4/mmm, No. 123